This record from Alexandria via LeMat-Bulk describes a geometry-optimized LiTbPu structure. The functional is PBE-GGA.

a b c (Å): 3.3729 3.3729 8.3415
angles (deg): 90.00 90.00 120.00
Sites, in units of the cell vectors:
Li 0.0000 0.0000 0.0000
Tb 0.3333 0.6667 0.6680
Pu 0.6667 0.3333 0.3274

Results
* E_form: 0.238 eV per atom
* energy relative to the lowest polymorph listed for this composition: 0.0 meV per atom
* space-group type: P3m1

---

This record from Alexandria via LeMat-Bulk describes a geometry-optimized LiTb2Pu structure. The functional is PBE-GGA.

a b c (Å): 11.2265 11.2265 11.2265
angles (deg): 17.79 17.79 17.79
Sites, in units of the cell vectors:
Li 0.0000 0.0000 0.0000
Tb 0.4155 0.4155 0.4155
Tb 0.5844 0.5844 0.5844
Pu 0.8333 0.8333 0.8333

Results
* E_form: 0.177 eV per atom
* energy relative to the lowest polymorph listed for this composition: 22.3 meV per atom
* space-group type: R3m

---

This record from Alexandria via LeMat-Bulk describes a geometry-optimized LiTbPu structure. The functional is PBE-GGA.

a b c (Å): 13.5337 13.5337 13.5337
angles (deg): 15.71 15.71 15.71
Sites, in units of the cell vectors:
Li 0.1928 0.1928 0.1928
Li 0.8072 0.8072 0.8072
Tb 0.0743 0.0743 0.0743
Tb 0.9257 0.9257 0.9257
Pu 0.3451 0.3451 0.3451
Pu 0.6549 0.6549 0.6549

Results
* E_form: 0.244 eV per atom
* energy relative to the lowest polymorph listed for this composition: 6.5 meV per atom
* space-group type: R-3m

---

This record from Alexandria via LeMat-Bulk describes a geometry-optimized LiTbPu structure. The functional is PBE-GGA.

a b c (Å): 7.6799 7.6799 7.6799
angles (deg): 155.08 155.08 35.54
Sites, in units of the cell vectors:
Li 0.0000 0.0000 0.0000
Tb 0.6654 0.6654 0.0000
Pu 0.3402 0.3402 0.0000

Results
* E_form: 0.250 eV per atom
* energy relative to the lowest polymorph listed for this composition: 11.8 meV per atom
* space-group type: I4mm

---

This record from Alexandria via LeMat-Bulk describes a geometry-optimized LiTb2Pu structure. The functional is PBE-GGA.

a b c (Å): 5.5677 5.5677 3.5349
angles (deg): 90.00 90.00 90.00
Sites, in units of the cell vectors:
Li 0.0000 0.0000 0.0000
Tb 0.0000 0.5000 0.5000
Tb 0.5000 0.0000 0.5000
Pu 0.5000 0.5000 0.0000

Results
* E_form: 0.188 eV per atom
* energy relative to the lowest polymorph listed for this composition: 32.9 meV per atom
* space-group type: P4/mmm

---

This record from Alexandria via LeMat-Bulk describes a geometry-optimized LiTb2Pu structure. The functional is PBE-GGA.

a b c (Å): 12.1068 12.1068 12.1068
angles (deg): 15.91 15.91 15.91
Sites, in units of the cell vectors:
Li 0.0000 0.0000 0.0000
Tb 0.4091 0.4091 0.4091
Tb 0.5909 0.5909 0.5909
Pu 0.5000 0.5000 0.5000

Results
* E_form: 0.361 eV per atom
* energy relative to the lowest polymorph listed for this composition: 206.1 meV per atom
* space-group type: R-3m

---

This record from Alexandria via LeMat-Bulk describes a geometry-optimized LiTbPu2Te4 structure. The functional is PBE-GGA.

a b c (Å): 7.6009 4.3983 7.6252
angles (deg): 90.00 109.48 90.00
Sites, in units of the cell vectors:
Li 0.0000 0.0000 0.0000
Tb 0.0000 0.5000 0.5000
Pu 0.5000 0.0000 0.5000
Pu 0.5000 0.5000 0.0000
Te 0.2395 0.5000 0.2434
Te 0.2426 0.0000 0.7520
Te 0.7574 0.0000 0.2480
Te 0.7605 0.5000 0.7566

Results
* uncorrected formation energy: -1.163 eV/atom
* space-group type: P2/m

---

This record from Alexandria via LeMat-Bulk describes a geometry-optimized LiTb3Pu2Te6 structure. The functional is PBE-GGA.

a b c (Å): 9.8232 9.8232 8.7976
angles (deg): 103.37 103.37 25.72
Sites, in units of the cell vectors:
Li 0.0000 0.0000 0.0000
Tb 0.0000 0.0000 0.5000
Tb 0.3309 0.3309 0.1686
Tb 0.6691 0.6691 0.8314
Pu 0.3343 0.3343 0.6690
Pu 0.6657 0.6657 0.3310
Te 0.1626 0.1626 0.0756
Te 0.1661 0.1661 0.5828
Te 0.4972 0.4972 0.2432
Te 0.5028 0.5028 0.7568
Te 0.8339 0.8339 0.4172
Te 0.8374 0.8374 0.9244

Results
* uncorrected formation energy: -1.245 eV/atom
* space-group type: C2/m

---

| no. | energy (eV/atom) | density of states at the Fermi level (states/eV/cell) |
| --- | --- | --- |
| 1 | -6.7209 | 9.0 |
| 2 | -6.1993 | 9.6 |
| 3 | -6.7143 | 9.9 |
| 4 | -6.7091 | 9.0 |
| 5 | -6.1887 | 9.7 |
| 6 | -6.0155 | 10.8 |
| 7 | -7.1345 | 22.3 |
| 8 | -6.5219 | 25.1 |